Material: CsBa2WO6
Method: DFT, PBE+U
State: optimized geometry

POSCAR file:
```
CsBa2WO6
1.0
6.206 0.000 0.041
0.000 6.865 0.000
0.106 0.000 9.236
Cs O Ba W
2 12 4 2
Direct
0.500 0.000 0.000
0.000 0.500 0.500
0.773 0.863 0.519
0.609 0.113 0.317
0.625 0.220 0.607
0.891 0.613 0.183
0.125 0.280 0.107
0.227 0.137 0.481
0.391 0.887 0.683
0.273 0.637 0.019
0.375 0.780 0.393
0.727 0.363 0.981
0.109 0.387 0.817
0.875 0.720 0.893
0.493 0.467 0.226
0.993 0.033 0.726
0.507 0.533 0.774
0.007 0.967 0.274
0.500 0.000 0.500
0.000 0.500 0.000
```

Properties
The calculation puts the final energy at -6.363 eV per atom.